Record 1
# AlSi2Ru3, optimized geometry, DFT PBE-GGA
data_AlSi2Ru3
_cell_length_a 2.954
_cell_length_b 2.954
_cell_length_c 8.869
_cell_angle_alpha 90.00
_cell_angle_beta 90.00
_cell_angle_gamma 90.00
_symmetry_space_group_name_H-M 'P 4/m m m'
_symmetry_Int_Tables_number 123
_symmetry_space_group_name_Hall '-P 4 2'
loop_
_atom_site_label
_atom_site_type_symbol
_atom_site_fract_x
_atom_site_fract_y
_atom_site_fract_z
Al1 Al 0.000 0.000 0.000
Si1 Si 0.000 0.000 0.330
Ru1 Ru 0.500 0.500 0.177
Ru2 Ru 0.500 0.500 0.500
# ΔE_f (raw) in kJ per mole of atoms: -68.6

***

Record 2
# KBPd3, optimized geometry, DFT PBE-GGA
data_KBPd3
_cell_length_a 4.985
_cell_length_b 4.985
_cell_length_c 4.985
_cell_angle_alpha 90.00
_cell_angle_beta 90.00
_cell_angle_gamma 90.00
_symmetry_space_group_name_H-M 'P m -3 m'
_symmetry_Int_Tables_number 221
_symmetry_space_group_name_Hall '-P 4 2 3'
loop_
_atom_site_label
_atom_site_type_symbol
_atom_site_fract_x
_atom_site_fract_y
_atom_site_fract_z
K1 K 0.000 0.000 0.000
B1 B 0.500 0.500 0.500
Pd1 Pd 0.000 0.000 0.500
# ΔH_f (0 K) in kcal/mol of atoms: 51.2

***

Record 3
# FeSbSe2, optimized geometry, DFT PBE-GGA
data_FeSbSe2
_cell_length_a 3.471
_cell_length_b 3.471
_cell_length_c 6.971
_cell_angle_alpha 90.00
_cell_angle_beta 90.00
_cell_angle_gamma 90.00
_symmetry_space_group_name_H-M 'P 4 m m'
_symmetry_Int_Tables_number 99
_symmetry_space_group_name_Hall 'P 4 -2'
loop_
_atom_site_label
_atom_site_type_symbol
_atom_site_fract_x
_atom_site_fract_y
_atom_site_fract_z
Fe1 Fe 0.000 0.000 0.000
Sb1 Sb 0.500 0.500 0.288
Se1 Se 0.000 0.000 0.510
Se2 Se 0.500 0.500 0.867
# ΔE_f (raw) in kJ per mole of atoms: 22.2

***

In order of appearance, D(E_F) = 2.013, 0.622, 3.575 states/eV/cell.
In order of appearance, mass density = 8.288, 4.949, 6.632 Mg/m³.